Entry 1:
Entry from Alexandria: a relaxed structure of PuUH2 (PBE).

Output
As for the polymorph energy (0 for the lowest one): 0.000 kcal/mol of atoms. As for the space group: P-1 (2). The total moment comes out at 8.14 Bohr magnetons per cell.

Cell lengths 4.9201, 3.4523, 6.1104 Å; angles 92.60, 88.67, 91.94 degrees
Closest atoms and distances in Å follow each position.
Fractional positions:
Pu (0.2495, 0.1583, 0.3393)  5 H 2.18-2.37
U (0.7730, 0.6552, 0.0588)  3 H 2.18-2.40
H (0.5227, 0.6771, 0.3588)  3 H 2.11-2.16, 3 Pu 2.18-2.22, 1 U 2.18
H (0.2249, 0.8205, 0.6687)  2 H 2.11-2.15, 1 Pu 2.34
U (0.2270, 0.3448, 0.9412)  3 H 2.18-2.40
H (0.7751, 0.1795, 0.3313)  2 H 2.11-2.15, 1 Pu 2.34
Pu (0.7505, 0.8417, 0.6607)  5 H 2.18-2.37
H (0.4773, 0.3229, 0.6412)  3 H 2.11-2.16, 3 Pu 2.18-2.22, 1 U 2.18

---

Entry 2:
Entry from Alexandria: a relaxed structure of Cs2SrCeBr6 (PBE).

Output
The value obtained for the total energy is -3.72 eV per atom. As for the space group: Pmmn (59). The total moment comes out at 3.73 Bohr magnetons per cell.

Cell lengths 8.5037, 8.5043, 12.0289 Å; angles 90.00, 90.00, 90.00 degrees
Closest atoms and distances in Å follow each position.
Fractional positions:
Br (0.5000, 0.2508, 0.7487)  1 Ce 2.99, 1 Sr 3.02
Br (0.2513, 0.0019, 0.5000)  1 Ce 2.99, 1 Sr 3.02
Ce (0.0000, 0.7494, 0.0000)  6 Br 2.99
Br (0.7480, 0.5000, 0.5000)  1 Ce 2.99, 1 Sr 3.02
Sr (0.0000, 0.7506, 0.5000)  6 Br 3.02
Br (0.2480, 0.5000, 0.0000)  1 Ce 2.99, 1 Sr 3.02
Cs (0.0000, 0.2504, 0.2488)  12 Br 4.23-4.27
Br (0.0000, 0.7492, 0.2487)  1 Ce 2.99, 1 Sr 3.02
Sr (0.5000, 0.2494, 0.0000)  6 Br 3.02
Cs (0.5000, 0.7496, 0.2512)  12 Br 4.23-4.27
Br (0.7487, 0.0019, 0.5000)  1 Ce 2.99, 1 Sr 3.02
Br (0.0000, 0.7492, 0.7513)  1 Ce 2.99, 1 Sr 3.02
Br (0.2520, 0.5000, 0.5000)  1 Ce 2.99, 1 Sr 3.02
Br (0.7520, 0.5000, 0.0000)  1 Ce 2.99, 1 Sr 3.02
Cs (0.5000, 0.7496, 0.7488)  12 Br 4.23-4.27
Br (0.7513, 0.9981, 0.0000)  1 Ce 2.99, 1 Sr 3.02
Br (0.5000, 0.2508, 0.2513)  1 Ce 2.99, 1 Sr 3.02
Ce (0.5000, 0.2506, 0.5000)  6 Br 2.99
Br (0.2487, 0.9981, 0.0000)  1 Ce 2.99, 1 Sr 3.02
Cs (0.0000, 0.2504, 0.7512)  12 Br 4.23-4.27

---

Entry 3:
Entry from Alexandria: a relaxed structure of Pm7Pr (PBE).

Output
The value obtained for the total energy is -4.75 eV per atom. As for the space group: Fm-3m (225). The total moment comes out at 0.00 Bohr magnetons per cell.

Cell lengths 7.3123, 7.3123, 7.3123 Å; angles 60.00, 60.00, 60.00 degrees
Closest atoms and distances in Å follow each position.
Fractional positions:
Pm (0.5000, 0.0000, 0.5000)  10 Pm 3.66, 2 Pr 3.66
Pm (0.0000, 0.5000, 0.5000)  10 Pm 3.66, 2 Pr 3.66
Pm (0.0000, 0.5000, 0.0000)  10 Pm 3.66, 2 Pr 3.66
Pm (0.5000, 0.5000, 0.0000)  10 Pm 3.66, 2 Pr 3.66
Pm (0.5000, 0.0000, 0.0000)  2 Pr 3.66, 10 Pm 3.66
Pm (0.0000, 0.0000, 0.5000)  10 Pm 3.66, 2 Pr 3.66
Pr (0.0000, 0.0000, 0.0000)  12 Pm 3.66
Pm (0.5000, 0.5000, 0.5000)  12 Pm 3.66